Entry 1:
Density functional theory data (PBE-GGA) for a relaxed Si2BiMoPd crystal.

Cell and atoms, written as POSCAR:
```
Si2BiMoPd
1.0
4.532 0.000 0.000
0.000 4.532 0.000
0.000 0.000 5.427
Si Bi Mo Pd
2 1 1 1
direct
0.000 0.500 0.000
0.500 0.000 0.000
0.000 0.000 0.500
0.500 0.500 0.500
0.500 0.500 0.000
```

Computed properties:
For the total energy, the calculation gives -26.83 eV/cell. The formation energy from raw total energies comes out at 784.8 meV/atom. The density of states at the Fermi level comes out at 2.49 states/eV/f.u. The space group is P4/mmm, No. 123.



Entry 2:
Density functional theory data (PBE-GGA) for a relaxed TaBiMoPd2 crystal.

Cell and atoms, written as POSCAR:
```
TaBiMoPd2
1.0
4.952 0.000 0.000
0.000 4.952 0.000
0.000 0.000 4.726
Ta Bi Mo Pd
1 1 1 2
direct
0.000 0.000 0.000
0.500 0.500 0.500
0.000 0.000 0.500
0.000 0.500 0.000
0.500 0.000 0.000
```

Computed properties:
The calculation puts the formation energy at 0.950 eV per atom. For the total energy, the calculation gives -32.20 eV/cell. The density of states at the Fermi level comes out at 2.36 states/eV/f.u. The space group is P4/mmm, No. 123.



Entry 3:
Density functional theory data (PBE-GGA) for a relaxed Bi2MoPt crystal.

Cell and atoms, written as POSCAR:
```
Bi2MoPt
1.0
0.000 3.500 3.500
3.500 0.000 3.500
3.500 3.500 0.000
Bi Mo Pt
2 1 1
direct
0.250 0.250 0.250
0.750 0.750 0.750
0.000 0.000 0.000
0.500 0.500 0.500
```

Computed properties:
The calculation puts the formation energy at 0.511 eV per atom. For the total energy, the calculation gives -22.59 eV/cell. The polymorph energy (0 for the lowest one) comes out at 0 meV/atom. The density of states at the Fermi level comes out at 4.02 states/eV/f.u. The space group is Fm-3m, No. 225.



Entry 4:
Density functional theory data (PBE-GGA) for a relaxed Bi3MoPt crystal.

Cell and atoms, written as POSCAR:
```
Bi3MoPt
1.0
5.281 0.000 0.000
0.000 5.281 0.000
0.000 0.000 5.281
Bi Mo Pt
3 1 1
direct
0.000 0.000 0.500
0.000 0.500 0.000
0.500 0.000 0.000
0.000 0.000 0.000
0.500 0.500 0.500
```

Computed properties:
The calculation puts the formation energy at 0.815 eV per atom. For the total energy, the calculation gives -24.44 eV/cell. The polymorph energy (0 for the lowest one) comes out at 0 meV/atom. The density of states at the Fermi level comes out at 2.34 states/eV/f.u. The space group is Pm-3m, No. 221.



Entry 5:
Density functional theory data (PBE-GGA) for a relaxed Bi2MoPt crystal.

Cell and atoms, written as POSCAR:
```
Bi2MoPt
1.0
-3.134 3.134 6.306
3.134 -3.134 6.306
3.134 3.134 -6.306
Bi Mo Pt
4 2 2
direct
0.121 0.625 0.996
0.375 0.371 0.496
0.629 0.125 0.004
0.875 0.879 0.504
0.250 0.750 0.500
0.500 0.500 0.000
0.000 0.000 0.000
0.750 0.250 0.500
```

Computed properties:
The calculation puts the formation energy at 0.825 eV per atom. For the total energy, the calculation gives -42.67 eV/cell. The polymorph energy (0 for the lowest one) comes out at 314 meV/atom. The density of states at the Fermi level comes out at 4.15 states/eV/f.u. The space group is I-42d, No. 122.



Entry 6:
Density functional theory data (PBE-GGA) for a relaxed BiMoPt2 crystal.

Cell and atoms, written as POSCAR:
```
BiMoPt2
1.0
-3.726 3.726 2.807
3.726 -3.726 2.807
3.726 3.726 -2.807
Bi Mo Pt
2 2 4
direct
0.000 0.000 0.000
0.750 0.250 0.500
0.250 0.750 0.500
0.500 0.500 0.000
0.143 0.625 0.018
0.375 0.393 0.518
0.607 0.125 0.982
0.875 0.857 0.482
```

Computed properties:
The calculation puts the formation energy at 0.241 eV per atom. For the total energy, the calculation gives -51.66 eV/cell. The density of states at the Fermi level comes out at 3.99 states/eV/f.u. The space group is I-42d, No. 122.